[1]
RbZrSc: relaxed, PBE-GGA.

Structure (extended XYZ):
```
12
Lattice="7.238 0.000 0.000 0.000 7.238 0.000 0.000 0.000 7.238" Properties=species:S:1:pos:R:3 pbc="T T T"
Rb 0.000 0.000 0.000
Rb 0.000 3.619 3.619
Rb 3.619 0.000 3.619
Rb 3.619 3.619 0.000
Zr 1.809 1.809 1.809
Zr 1.809 5.428 5.428
Zr 5.428 1.809 5.428
Zr 5.428 5.428 1.809
Sc 1.809 1.809 5.428
Sc 1.809 5.428 1.809
Sc 5.428 1.809 1.809
Sc 5.428 5.428 5.428
```

Output
The energy above the most stable polymorph in this dataset is 320 meV per atom. The value obtained for the magnetic moment is 0.01 μB/f.u.

[2]
InAu7: relaxed, PBE-GGA.

Structure (extended XYZ):
```
16
Lattice="2.073 -2.073 0.000 2.073 2.073 0.000 -0.089 0.000 44.452" Properties=species:S:1:pos:R:3 pbc="T T T"
In 1.024 0.000 6.256
In 3.032 0.000 38.196
Au 1.014 0.000 10.721
Au 1.006 0.000 14.911
Au 0.998 0.000 19.087
Au 0.990 0.000 23.277
Au 0.981 0.000 27.453
Au 0.972 0.000 31.627
Au 0.964 0.000 35.869
Au 3.092 0.000 8.583
Au 3.084 0.000 12.824
Au 3.075 0.000 16.998
Au 3.066 0.000 21.175
Au 3.058 0.000 25.365
Au 3.050 0.000 29.540
Au 3.042 0.000 33.730
```

Output
The energy above the most stable polymorph in this dataset is 80 meV per atom.

[3]
DyScGe: relaxed, PBE-GGA.

Structure (extended XYZ):
```
12
Lattice="6.693 0.000 0.000 0.000 6.693 0.000 0.000 0.000 6.693" Properties=species:S:1:pos:R:3 pbc="T T T"
Dy 0.000 0.000 0.000
Dy 0.000 3.346 3.346
Dy 3.346 0.000 3.346
Dy 3.346 3.346 0.000
Sc 0.000 0.000 3.346
Sc 0.000 3.346 0.000
Sc 3.346 0.000 0.000
Sc 3.346 3.346 3.346
Ge 1.673 1.673 1.673
Ge 1.673 5.020 5.020
Ge 5.020 1.673 5.020
Ge 5.020 5.020 1.673
```

Output
The energy above the most stable polymorph in this dataset is 0 meV per atom. The value obtained for the magnetic moment is 0.01 μB/f.u.

[4]
Y2B2Pd2CN: relaxed, PBE-GGA.

Structure (extended XYZ):
```
8
Lattice="3.730 0.000 0.000 0.000 3.730 0.000 0.000 0.000 7.717" Properties=species:S:1:pos:R:3 pbc="T T T"
Y 0.000 0.000 0.000
Y 1.865 1.865 2.460
B 0.000 0.000 3.760
B 1.865 1.865 6.353
Pd 0.000 1.865 5.037
Pd 1.865 0.000 5.037
C 1.865 1.865 0.115
N 0.000 0.000 2.338
```

Output
The energy is -60.5 eV for the cell shown. The value obtained for the magnetic moment is 0.01 μB/f.u.

[5]
ErIn2Co: relaxed, PBE-GGA.

Structure (extended XYZ):
```
16
Lattice="4.411 0.000 0.000 0.000 19.674 0.000 0.000 0.000 3.992" Properties=species:S:1:pos:R:3 pbc="T T T"
Er 0.000 2.636 0.000
Er 0.000 17.038 0.000
Er 2.206 7.201 0.000
Er 2.206 12.473 0.000
In 0.000 0.000 1.996
In 0.000 5.782 1.996
In 0.000 9.837 0.000
In 0.000 13.891 1.996
In 2.206 0.000 0.000
In 2.206 4.054 1.996
In 2.206 9.837 1.996
In 2.206 15.619 1.996
Co 0.000 8.283 1.996
Co 0.000 11.391 1.996
Co 2.206 1.554 1.996
Co 2.206 18.120 1.996
```

Output
The energy is -71.6 eV for the cell shown. The value obtained for the magnetic moment is 0.00 μB/f.u.

[6]
SmZr2: relaxed, PBE-GGA.

Structure (extended XYZ):
```
12
Lattice="3.308 0.000 0.000 0.000 17.823 0.000 0.000 0.000 5.342" Properties=species:S:1:pos:R:3 pbc="T T T"
Sm 0.000 1.047 1.336
Sm 0.000 16.776 4.007
Sm 1.654 7.865 4.007
Sm 1.654 9.959 1.336
Zr 0.000 4.895 4.007
Zr 0.000 6.658 1.336
Zr 0.000 11.166 4.007
Zr 0.000 12.928 1.336
Zr 1.654 2.254 4.007
Zr 1.654 4.016 1.336
Zr 1.654 13.807 4.007
Zr 1.654 15.569 1.336
```

Output
The formation energy from the elements comes out at 0.07 eV per atom. The energy above the most stable polymorph in this dataset is 0 meV per atom. The value obtained for the magnetic moment is 0.00 μB/f.u.